FeIO2F: optimized geometry, PBE with a Hubbard U.

Calculated values
Volume: 87.6 Å³ per cell
Energy: -4.224 eV/atom
Space group: No. 123

Cell: 3.675 3.675 6.485 Å, 90.00 90.00 90.00°
Last column: magnetic moment on the atom in μB.
Atoms (fractional coordinates):
1 I 0.000 0.000 0.500  0.11
2 Fe 0.000 0.000 0.000  3.87
3 O 0.000 0.500 0.000  0.28
4 O 0.500 0.000 0.000  0.28
5 F 0.500 0.500 0.500  0.03